No. 1
{
  "formula": "Ce2SmPbN",
  "functional": "PBE",
  "state": "relaxed",
  "lattice": [[4.898, 0.000, 0.000], [0.000, 4.898, 0.000], [0.000, 0.000, 5.046]],
  "species": ["Ce", "Ce", "Sm", "Pb", "N"],
  "fractional_positions": [[0.000, 0.500, 0.000], [0.500, 0.000, 0.000], [0.000, 0.000, 0.500], [0.500, 0.500, 0.500], [0.000, 0.000, 0.000]],
  "dft_energy_ev_per_atom": -6.5950,
  "formation_energy_uncorrected_kj_per_mol_fu": -420,
  "space_group": "No. 123"
}


No. 2
{
  "formula": "SmAs3Ir3",
  "functional": "PBE",
  "state": "relaxed",
  "lattice": [[6.745, 0.000, 0.000], [0.000, 6.745, 0.000], [0.000, 0.000, 6.745]],
  "species": ["Sm", "Sm", "As", "As", "As", "As", "As", "As", "Ir", "Ir", "Ir", "Ir", "Ir", "Ir"],
  "fractional_positions": [[0.000, 0.000, 0.000], [0.500, 0.500, 0.500], [0.000, 0.250, 0.500], [0.000, 0.750, 0.500], [0.250, 0.500, 0.000], [0.500, 0.000, 0.250], [0.500, 0.000, 0.750], [0.750, 0.500, 0.000], [0.000, 0.500, 0.250], [0.000, 0.500, 0.750], [0.250, 0.000, 0.500], [0.500, 0.250, 0.000], [0.500, 0.750, 0.000], [0.750, 0.000, 0.500]],
  "dft_energy_ev_per_atom": -6.6428,
  "space_group": "No. 223"
}


No. 3
{
  "formula": "DyTmNiAg",
  "functional": "PBE",
  "state": "relaxed",
  "lattice": [[0.000, 3.491, 3.491], [3.491, 0.000, 3.491], [3.491, 3.491, 0.000]],
  "species": ["Dy", "Tm", "Ni", "Ag"],
  "fractional_positions": [[0.000, 0.000, 0.000], [0.500, 0.500, 0.500], [0.750, 0.750, 0.750], [0.250, 0.250, 0.250]],
  "dft_energy_ev_per_atom": -4.7578,
  "space_group": "No. 216"
}


No. 4
{
  "formula": "Er3HgRu",
  "functional": "PBE",
  "state": "relaxed",
  "lattice": [[5.486, 0.000, 0.000], [-2.473, 5.662, 0.000], [-1.506, -2.819, 7.971]],
  "species": ["Er", "Er", "Er", "Er", "Er", "Er", "Hg", "Hg", "Ru", "Ru"],
  "fractional_positions": [[0.055, 0.193, 0.274], [0.281, 0.420, 0.727], [0.303, 0.804, 0.107], [0.697, 0.196, 0.893], [0.719, 0.580, 0.273], [0.945, 0.807, 0.726], [0.345, 0.755, 0.500], [0.655, 0.245, 0.500], [0.249, 0.249, 0.998], [0.751, 0.751, 0.002]],
  "dft_energy_ev_per_atom": -5.0897,
  "space_group": "No. 2"
}


No. 5
{
  "formula": "Cs4HgBi3",
  "functional": "PBE",
  "state": "relaxed",
  "lattice": [[5.142, 0.000, 0.000], [0.000, 6.035, 0.000], [0.000, 0.000, 13.846]],
  "species": ["Cs", "Cs", "Cs", "Cs", "Hg", "Bi", "Bi", "Bi"],
  "fractional_positions": [[0.000, 0.000, 0.000], [0.000, 0.500, 0.489], [0.500, 0.000, 0.712], [0.500, 0.500, 0.214], [0.000, 0.500, 0.796], [0.000, 0.000, 0.292], [0.500, 0.000, 0.418], [0.500, 0.500, 0.906]],
  "dft_energy_ev_per_atom": -2.2625,
  "space_group": "No. 25"
}


No. 6
{
  "formula": "K3TlPd2O6",
  "functional": "PBE",
  "state": "relaxed",
  "lattice": [[3.106, -4.897, 0.000], [3.106, 4.897, 0.000], [-2.299, 0.000, 5.940]],
  "species": ["K", "K", "K", "Tl", "Pd", "Pd", "O", "O", "O", "O", "O", "O"],
  "fractional_positions": [[0.000, 0.000, 0.000], [0.334, 0.666, 0.000], [0.666, 0.334, 0.000], [0.500, 0.500, 0.500], [0.164, 0.836, 0.500], [0.836, 0.164, 0.500], [0.108, 0.474, 0.311], [0.200, 0.200, 0.681], [0.474, 0.108, 0.311], [0.526, 0.892, 0.689], [0.800, 0.800, 0.319], [0.892, 0.526, 0.689]],
  "dft_energy_ev_per_atom": -4.6649,
  "formation_energy_uncorrected_kj_per_mol_fu": -983,
  "space_group": "No. 12"
}


No. 7
{
  "formula": "TiSbPdI2",
  "functional": "PBE",
  "state": "relaxed",
  "lattice": [[5.364, 0.000, 0.000], [0.000, 5.364, 0.000], [0.000, 0.000, 5.341]],
  "species": ["Ti", "Sb", "Pd", "I", "I"],
  "fractional_positions": [[0.000, 0.000, 0.000], [0.500, 0.500, 0.000], [0.500, 0.500, 0.500], [0.000, 0.500, 0.500], [0.500, 0.000, 0.500]],
  "dft_energy_ev_per_atom": -3.4368,
  "formation_energy_uncorrected_kj_per_mol_fu": 302,
  "polymorph_energy_ev_per_atom": 0.256,
  "space_group": "No. 123"
}


No. 8
{
  "formula": "BeHgIN2",
  "functional": "PBE",
  "state": "relaxed",
  "lattice": [[4.174, 0.000, 0.000], [0.000, 4.174, 0.000], [0.000, 0.000, 8.181]],
  "species": ["Be", "Hg", "I", "N", "N"],
  "fractional_positions": [[0.000, 0.000, 0.000], [0.500, 0.500, 0.500], [0.500, 0.500, 0.000], [0.000, 0.500, 0.500], [0.500, 0.000, 0.500]],
  "dft_energy_ev_per_atom": -2.3963,
  "formation_energy_uncorrected_kj_per_mol_fu": 989,
  "polymorph_energy_ev_per_atom": 0.616,
  "space_group": "No. 123"
}


No. 9
{
  "formula": "YCuRe2",
  "functional": "PBE",
  "state": "relaxed",
  "lattice": [[1.677, -2.182, 0.000], [1.677, 2.182, 0.000], [0.000, 0.000, 9.011]],
  "species": ["Y", "Cu", "Re", "Re"],
  "fractional_positions": [[0.000, 0.000, 0.000], [0.000, 0.000, 0.500], [0.500, 0.500, 0.279], [0.500, 0.500, 0.721]],
  "dft_energy_ev_per_atom": -8.3049,
  "polymorph_energy_ev_per_atom": 0.476,
  "space_group": "No. 65"
}


No. 10
{
  "formula": "Ir2OsRh8",
  "functional": "PBE",
  "state": "relaxed",
  "lattice": [[3.987, -5.182, 0.000], [3.987, 5.182, 0.000], [0.000, 0.000, 4.059]],
  "species": ["Ir", "Ir", "Os", "Rh", "Rh", "Rh", "Rh", "Rh", "Rh", "Rh", "Rh"],
  "fractional_positions": [[0.121, 0.879, 0.000], [0.879, 0.121, 0.000], [0.500, 0.500, 0.500], [0.168, 0.168, 0.500], [0.204, 0.462, 0.000], [0.255, 0.745, 0.500], [0.462, 0.204, 0.000], [0.538, 0.796, 0.000], [0.745, 0.255, 0.500], [0.796, 0.538, 0.000], [0.832, 0.832, 0.500]],
  "dft_energy_ev_per_atom": -7.7131,
  "space_group": "No. 65"
}


No. 11
{
  "formula": "Ca2MgNi4Ge3",
  "functional": "PBE",
  "state": "relaxed",
  "lattice": [[4.106, 0.000, 0.000], [0.000, 4.106, 0.000], [0.000, 0.000, 10.095]],
  "species": ["Ca", "Ca", "Mg", "Ni", "Ni", "Ni", "Ni", "Ge", "Ge", "Ge"],
  "fractional_positions": [[0.000, 0.500, 0.240], [0.500, 0.000, 0.760], [0.000, 0.000, 0.500], [0.000, 0.000, 0.000], [0.000, 0.500, 0.643], [0.500, 0.000, 0.357], [0.500, 0.500, 0.000], [0.000, 0.500, 0.878], [0.500, 0.000, 0.122], [0.500, 0.500, 0.500]],
  "dft_energy_ev_per_atom": -4.7242,
  "space_group": "No. 115"
}


No. 12
{
  "formula": "CaAc4Zn3O12",
  "functional": "PBE",
  "state": "relaxed",
  "lattice": [[-4.060, 4.060, 4.060], [4.060, -4.060, 4.060], [4.060, 4.060, -4.060]],
  "species": ["Ca", "Ac", "Ac", "Ac", "Ac", "Zn", "Zn", "Zn", "O", "O", "O", "O", "O", "O", "O", "O", "O", "O", "O", "O"],
  "fractional_positions": [[0.000, 0.000, 0.000], [0.000, 0.000, 0.500], [0.000, 0.500, 0.000], [0.500, 0.000, 0.000], [0.500, 0.500, 0.500], [0.000, 0.500, 0.500], [0.500, 0.000, 0.500], [0.500, 0.500, 0.000], [0.000, 0.265, 0.265], [0.000, 0.735, 0.735], [0.250, 0.500, 0.750], [0.250, 0.750, 0.500], [0.265, 0.000, 0.265], [0.265, 0.265, 0.000], [0.500, 0.250, 0.750], [0.500, 0.750, 0.250], [0.735, 0.000, 0.735], [0.735, 0.735, 0.000], [0.750, 0.250, 0.500], [0.750, 0.500, 0.250]],
  "dft_energy_ev_per_atom": -6.3057,
  "formation_energy_uncorrected_kj_per_mol_fu": -4280,
  "space_group": "No. 229"
}


No. 13
{
  "formula": "CuH14C3NCl3O2",
  "functional": "PBE",
  "state": "relaxed",
  "lattice": [[7.753, 0.000, 0.000], [0.000, 7.861, 0.000], [-0.827, 0.000, 17.014]],
  "species": ["Cu", "Cu", "Cu", "Cu", "H", "H", "H", "H", "H", "H", "H", "H", "H", "H", "H", "H", "H", "H", "H", "H", "H", "H", "H", "H", "H", "H", "H", "H", "H", "H", "H", "H", "H", "H", "H", "H", "H", "H", "H", "H", "H", "H", "H", "H", "H", "H", "H", "H", "H", "H", "H", "H", "H", "H", "H", "H", "H", "H", "H", "H", "C", "C", "C", "C", "C", "C", "C", "C", "C", "C", "C", "C", "N", "N", "N", "N", "Cl", "Cl", "Cl", "Cl", "Cl", "Cl", "Cl", "Cl", "Cl", "Cl", "Cl", "Cl", "O", "O", "O", "O", "O", "O", "O", "O"],
  "fractional_positions": [[0.000, 0.000, 0.000], [0.000, 0.500, 0.500], [0.500, 0.000, 0.000], [0.500, 0.500, 0.500], [0.004, 0.246, 0.190], [0.004, 0.254, 0.690], [0.073, 0.189, 0.538], [0.073, 0.311, 0.038], [0.090, 0.715, 0.716], [0.090, 0.785, 0.216], [0.098, 0.686, 0.018], [0.098, 0.814, 0.518], [0.126, 0.586, 0.267], [0.126, 0.914, 0.767], [0.133, 0.001, 0.365], [0.133, 0.499, 0.865], [0.232, 0.045, 0.274], [0.232, 0.455, 0.774], [0.282, 0.732, 0.369], [0.282, 0.768, 0.869], [0.363, 0.026, 0.363], [0.363, 0.474, 0.863], [0.400, 0.685, 0.013], [0.400, 0.815, 0.513], [0.408, 0.685, 0.713], [0.408, 0.815, 0.213], [0.435, 0.186, 0.539], [0.435, 0.314, 0.039], [0.435, 0.619, 0.266], [0.435, 0.881, 0.766], [0.465, 0.190, 0.696], [0.465, 0.310, 0.196], [0.535, 0.690, 0.804], [0.535, 0.810, 0.304], [0.565, 0.119, 0.234], [0.565, 0.381, 0.734], [0.565, 0.686, 0.961], [0.565, 0.814, 0.461], [0.592, 0.185, 0.787], [0.592, 0.315, 0.287], [0.600, 0.185, 0.487], [0.600, 0.315, 0.987], [0.637, 0.526, 0.137], [0.637, 0.974, 0.637], [0.718, 0.232, 0.131], [0.718, 0.268, 0.631], [0.768, 0.545, 0.226], [0.768, 0.955, 0.726], [0.867, 0.501, 0.135], [0.867, 0.999, 0.635], [0.874, 0.086, 0.233], [0.874, 0.414, 0.733], [0.902, 0.186, 0.482], [0.902, 0.314, 0.982], [0.910, 0.215, 0.784], [0.910, 0.285, 0.284], [0.927, 0.689, 0.962], [0.927, 0.811, 0.462], [0.996, 0.746, 0.310], [0.996, 0.754, 0.810], [0.107, 0.723, 0.274], [0.107, 0.777, 0.774], [0.247, 0.520, 0.831], [0.247, 0.980, 0.331], [0.423, 0.743, 0.771], [0.423, 0.757, 0.271], [0.577, 0.243, 0.729], [0.577, 0.257, 0.229], [0.753, 0.020, 0.669], [0.753, 0.480, 0.169], [0.893, 0.223, 0.226], [0.893, 0.277, 0.726], [0.265, 0.706, 0.815], [0.265, 0.794, 0.315], [0.735, 0.206, 0.685], [0.735, 0.294, 0.185], [0.210, 0.509, 0.598], [0.210, 0.991, 0.098], [0.257, 0.003, 0.578], [0.257, 0.497, 0.078], [0.311, 0.082, 0.900], [0.311, 0.418, 0.400], [0.689, 0.582, 0.600], [0.689, 0.918, 0.100], [0.743, 0.503, 0.922], [0.743, 0.997, 0.422], [0.790, 0.009, 0.902], [0.790, 0.491, 0.402], [0.035, 0.747, 0.476], [0.035, 0.753, 0.976], [0.456, 0.750, 0.471], [0.456, 0.750, 0.971], [0.544, 0.250, 0.029], [0.544, 0.250, 0.529], [0.965, 0.247, 0.024], [0.965, 0.253, 0.524]],
  "dft_energy_ev_per_atom": -4.7766,
  "space_group": "No. 14"
}


No. 14
{
  "formula": "NaCeClF4",
  "functional": "PBE",
  "state": "relaxed",
  "lattice": [[5.624, -3.580, 0.000], [5.624, 3.580, 0.000], [-1.409, 0.000, 6.588]],
  "species": ["Na", "Na", "Ce", "Ce", "Cl", "Cl", "F", "F", "F", "F", "F", "F", "F", "F"],
  "fractional_positions": [[0.112, 0.112, 0.346], [0.888, 0.888, 0.654], [0.278, 0.278, 0.893], [0.722, 0.722, 0.107], [0.460, 0.460, 0.220], [0.540, 0.540, 0.780], [0.005, 0.626, 0.879], [0.090, 0.090, 0.732], [0.284, 0.284, 0.580], [0.374, 0.995, 0.121], [0.626, 0.005, 0.879], [0.716, 0.716, 0.420], [0.910, 0.910, 0.268], [0.995, 0.374, 0.121]],
  "dft_energy_ev_per_atom": -5.5189,
  "formation_energy_uncorrected_kj_per_mol_fu": -2127,
  "space_group": "No. 12"
}


No. 15
{
  "formula": "Ti4As",
  "functional": "PBE",
  "state": "relaxed",
  "lattice": [[4.679, 0.000, 0.000], [0.000, 4.679, 0.000], [0.000, 0.000, 4.679]],
  "species": ["Ti", "Ti", "Ti", "Ti", "As"],
  "fractional_positions": [[0.000, 0.000, 0.000], [0.000, 0.500, 0.500], [0.500, 0.000, 0.500], [0.500, 0.500, 0.000], [0.500, 0.500, 0.500]],
  "dft_energy_ev_per_atom": -7.0336,
  "space_group": "No. 221"
}


No. 16
{
  "formula": "SmAl2Tl",
  "functional": "PBE",
  "state": "relaxed",
  "lattice": [[0.000, 3.637, 3.637], [3.637, 0.000, 3.637], [3.637, 3.637, 0.000]],
  "species": ["Sm", "Al", "Al", "Tl"],
  "fractional_positions": [[0.000, 0.000, 0.000], [0.250, 0.250, 0.250], [0.750, 0.750, 0.750], [0.500, 0.500, 0.500]],
  "dft_energy_ev_per_atom": -3.5962,
  "polymorph_energy_ev_per_atom": 0.316,
  "space_group": "No. 225"
}


No. 17
{
  "formula": "Ni2RhCl",
  "functional": "PBE",
  "state": "relaxed",
  "lattice": [[2.832, 0.000, 0.000], [0.000, 4.363, 0.000], [-0.009, 0.000, 4.433]],
  "species": ["Ni", "Ni", "Rh", "Cl"],
  "fractional_positions": [[0.000, 0.000, 0.000], [0.003, 0.500, 0.568], [0.501, 0.500, 0.062], [0.107, 0.000, 0.498]],
  "dft_energy_ev_per_atom": -4.8438,
  "formation_energy_uncorrected_kj_per_mol_fu": 134,
  "polymorph_energy_ev_per_atom": 0.144,
  "space_group": "No. 6"
}


No. 18
{
  "formula": "CaLaTl",
  "functional": "PBE",
  "state": "relaxed",
  "lattice": [[8.751, -2.729, 0.000], [8.751, 2.729, 0.000], [-0.259, 0.000, 4.148]],
  "species": ["Ca", "Ca", "La", "La", "Tl", "Tl"],
  "fractional_positions": [[0.000, 0.000, 0.000], [0.500, 0.500, 0.500], [0.181, 0.181, 0.584], [0.819, 0.819, 0.416], [0.356, 0.356, 0.967], [0.644, 0.644, 0.033]],
  "dft_energy_ev_per_atom": -3.3792,
  "polymorph_energy_ev_per_atom": 0.118,
  "space_group": "No. 12"
}


No. 19
{
  "formula": "Nd3Dy2Ho8",
  "functional": "PBE",
  "state": "relaxed",
  "lattice": [[11.366, -2.777, 0.000], [11.366, 2.777, 0.000], [-1.400, 0.000, 6.646]],
  "species": ["Nd", "Nd", "Nd", "Dy", "Dy", "Ho", "Ho", "Ho", "Ho", "Ho", "Ho", "Ho", "Ho"],
  "fractional_positions": [[0.000, 0.000, 0.000], [0.488, 0.488, 0.710], [0.512, 0.512, 0.290], [0.230, 0.230, 0.812], [0.770, 0.770, 0.188], [0.077, 0.077, 0.594], [0.178, 0.178, 0.265], [0.332, 0.332, 0.475], [0.377, 0.377, 0.014], [0.623, 0.623, 0.986], [0.668, 0.668, 0.525], [0.822, 0.822, 0.735], [0.923, 0.923, 0.406]],
  "dft_energy_ev_per_atom": -4.5371,
  "polymorph_energy_ev_per_atom": 0.000,
  "space_group": "No. 12"
}


No. 20
{
  "formula": "BaNaCdAs2",
  "functional": "PBE",
  "state": "relaxed",
  "lattice": [[6.876, -2.266, 0.000], [6.876, 2.266, 0.000], [-5.966, 0.000, 9.252]],
  "species": ["Ba", "Ba", "Na", "Na", "Cd", "Cd", "As", "As", "As", "As"],
  "fractional_positions": [[0.025, 0.025, 0.187], [0.975, 0.975, 0.813], [0.142, 0.142, 0.602], [0.858, 0.858, 0.398], [0.298, 0.298, 0.142], [0.702, 0.702, 0.858], [0.336, 0.336, 0.909], [0.479, 0.479, 0.600], [0.521, 0.521, 0.400], [0.664, 0.664, 0.091]],
  "dft_energy_ev_per_atom": -3.3167,
  "space_group": "No. 12"
}